Entry 1:
The following is a GGA-PBE calculation of a relaxed structure of RbAcPuO4, from the Alexandria database.

Calculated values
ΔE_f (raw) = -19.3 eV per formula unit
M_tot = 8.00 μB/cell
symmetry = Imma

Cell lengths 7.146, 7.480, 7.796 Å; angles 121.41, 90.00, 118.54 degrees
Positions (direct):
Ac  0.500  0.000  0.000
Ac  0.500  0.000  0.500
Pu  0.000  0.500  0.500
Pu  0.500  0.500  0.500
O  0.264  0.527  0.330
O  0.756  0.082  0.291
O  0.326  0.082  0.291
O  0.736  0.473  0.303
O  0.264  0.527  0.697
O  0.244  0.918  0.709
O  0.674  0.918  0.709
O  0.736  0.473  0.670
Rb  0.873  0.746  0.123
Rb  0.127  0.254  0.877

=====

Entry 2:
The following is a GGA-PBE calculation of a relaxed structure of RbAcPu2O7, from the Alexandria database.

Calculated values
ΔE_f (raw) = -30.6 eV per formula unit
M_tot = 6.00 μB/cell
symmetry = P4/mmm

Cell lengths 4.314, 4.314, 11.115 Å; angles 90.00, 90.00, 90.00 degrees
Positions (direct):
O  0.500  0.500  0.365
O  0.000  0.500  0.154
O  0.500  0.000  0.154
O  0.500  0.500  0.635
O  0.500  0.500  0.000
O  0.500  0.000  0.846
O  0.000  0.500  0.846
Rb  0.000  0.000  0.500
Pu  0.500  0.500  0.806
Pu  0.500  0.500  0.194
Ac  0.000  0.000  0.000

=====

Entry 3:
The following is a GGA-PBE calculation of a relaxed structure of Ac2PuRh3O12, from the Alexandria database.

Calculated values
ΔE_f (raw) = -30.0 eV per formula unit
M_tot = 0.79 μB/cell
symmetry = R-3m

Cell lengths 7.345, 7.345, 7.345 Å; angles 56.70, 56.70, 56.70 degrees
Positions (direct):
Pu  0.000  0.000  0.000
O  0.889  0.345  0.345
O  0.082  0.082  0.659
O  0.341  0.918  0.918
O  0.345  0.889  0.345
O  0.345  0.345  0.889
O  0.655  0.655  0.111
O  0.918  0.341  0.918
O  0.918  0.918  0.341
O  0.111  0.655  0.655
O  0.082  0.659  0.082
O  0.655  0.111  0.655
O  0.659  0.082  0.082
Rh  0.000  0.000  0.500
Rh  0.500  0.000  0.000
Rh  0.000  0.500  0.000
Ac  0.405  0.405  0.405
Ac  0.595  0.595  0.595

=====

Entry 4:
The following is a GGA-PBE calculation of a relaxed structure of AcPuRh2O8, from the Alexandria database.

Calculated values
ΔE_f (raw) = -20.9 eV per formula unit
M_tot = 1.07 μB/cell
symmetry = P2/m

Cell lengths 4.923, 4.930, 6.891 Å; angles 90.00, 90.00, 87.95 degrees
Positions (direct):
Pu  0.000  0.000  0.000
Ac  0.000  0.000  0.500
O  0.794  0.208  0.212
O  0.206  0.792  0.212
O  0.677  0.679  0.000
O  0.794  0.208  0.788
O  0.340  0.335  0.500
O  0.323  0.321  0.000
O  0.206  0.792  0.788
O  0.660  0.665  0.500
Rh  0.500  0.500  0.243
Rh  0.500  0.500  0.757

=====

Entry 5:
The following is a GGA-PBE calculation of a relaxed structure of Ac2PuS2O2, from the Alexandria database.

Calculated values
ΔE_f (raw) = -16.8 eV per formula unit
M_tot = 5.44 μB/cell
symmetry = I4/mmm

Cell lengths 4.403, 4.403, 8.512 Å; angles 104.99, 104.99, 90.00 degrees
Positions (direct):
Ac  0.638  0.638  0.276
Ac  0.362  0.362  0.724
O  0.000  0.500  0.000
O  0.500  0.000  0.000
S  0.176  0.176  0.352
S  0.824  0.824  0.648
Pu  0.000  0.000  0.000

=====

Entry 6:
The following is a GGA-PBE calculation of a relaxed structure of AcPuS2O, from the Alexandria database.

Calculated values
ΔE_f (raw) = -11.7 eV per formula unit
M_tot = 10.00 μB/cell
symmetry = P4/nmm

Cell lengths 4.076, 4.076, 14.047 Å; angles 90.00, 90.00, 90.00 degrees
Positions (direct):
Pu  0.500  0.000  0.109
Pu  0.000  0.500  0.891
O  0.500  0.500  0.500
O  0.000  0.000  0.500
S  0.000  0.500  0.709
S  0.500  0.000  0.291
S  0.000  0.500  0.091
S  0.500  0.000  0.909
Ac  0.000  0.500  0.404
Ac  0.500  0.000  0.596